[1]
Material: Mg2CuAg
Method: DFT, SCAN
State: single point on PBEsol structure

abc: 3.149 3.149 6.570
angles: 90.00 90.00 90.00
Fractional positions:
Mg 0.000 0.000 0.734
Mg 0.000 0.000 0.266
Ag 0.500 0.500 0.000
Cu 0.500 0.500 0.500

Its formation energy is -194 meV per atom. The value obtained for the raw total energy is -14.32 eV per atom. The calculation puts the total magnetization at 0.00 μB per atom.

---

[2]
Material: MgCuAg2
Method: DFT, SCAN
State: single point on PBEsol structure

abc: 3.956 3.956 4.863
angles: 114.00 114.00 90.00
Fractional positions:
Mg 0.250 0.750 0.500
Ag 0.000 0.000 0.000
Ag 0.750 0.250 0.500
Cu 0.500 0.500 0.000

Its formation energy is -76 meV per atom. The value obtained for the raw total energy is -20.80 eV per atom. The calculation puts the total magnetization at 0.00 μB per atom.

---

[3]
Material: Mg2CuAg
Method: DFT, SCAN
State: single point on PBEsol structure

abc: 3.896 3.896 5.093
angles: 112.48 112.48 90.00
Fractional positions:
Mg 0.000 0.000 0.000
Mg 0.750 0.250 0.500
Ag 0.500 0.500 0.000
Cu 0.250 0.750 0.500

Its formation energy is -144 meV per atom. The value obtained for the raw total energy is -14.27 eV per atom. The calculation puts the total magnetization at 0.00 μB per atom.

---

[4]
Material: MgCu2AgPt
Method: DFT, SCAN
State: single point on PBEsol structure

abc: 4.622 4.622 4.983
angles: 90.00 90.00 90.00
Fractional positions:
Mg 0.500 0.500 0.500
Cu 0.000 0.500 0.000
Cu 0.500 0.000 0.000
Ag 0.000 0.000 0.500
Pt 0.000 0.000 0.000

Its formation energy is 628 meV per atom. The value obtained for the raw total energy is -26.76 eV per atom. The calculation puts the total magnetization at 0.00 μB per atom.

---

[5]
Material: Mn2CuAg
Method: DFT, SCAN
State: single point on PBEsol structure

abc: 4.316 4.316 4.316
angles: 60.00 60.00 60.00
Fractional positions:
Ag 0.000 0.000 0.000
Cu 0.500 0.500 0.500
Mn 0.250 0.250 0.250
Mn 0.750 0.750 0.750

The energy above the most stable polymorph in this dataset comes out at 0.000 eV per atom. Its formation energy is -31 meV per atom. The value obtained for the raw total energy is -20.80 eV per atom. The calculation puts the total magnetization at 2.07 μB per atom.

---

[6]
Material: MnCuAg2
Method: DFT, SCAN
State: single point on PBEsol structure

abc: 3.121 4.361 4.361
angles: 90.00 90.00 90.00
Fractional positions:
Ag 0.000 0.000 0.500
Ag 0.000 0.500 0.000
Cu 0.500 0.500 0.500
Mn 0.500 0.000 0.000

Its formation energy is 99 meV per atom. The value obtained for the raw total energy is -23.95 eV per atom. The calculation puts the total magnetization at 1.09 μB per atom.

---

[7]
Material: Mn2CuAg
Method: DFT, SCAN
State: single point on PBEsol structure

abc: 2.683 2.683 6.891
angles: 90.00 90.00 90.00
Fractional positions:
Ag 0.500 0.500 0.500
Cu 0.000 0.000 0.775
Mn 0.500 0.500 0.027
Mn 0.000 0.000 0.199

The energy above the most stable polymorph in this dataset comes out at 0.231 eV per atom. Its formation energy is 201 meV per atom. The value obtained for the raw total energy is -20.57 eV per atom. The calculation puts the total magnetization at 0.04 μB per atom.

---

[8]
Material: ScMnCu2Ag
Method: DFT, SCAN
State: single point on PBEsol structure

abc: 4.659 4.659 4.831
angles: 90.00 90.00 90.00
Fractional positions:
Sc 0.000 0.000 0.500
Mn 0.500 0.500 0.500
Cu 0.000 0.500 0.000
Cu 0.500 0.000 0.000
Ag 0.000 0.000 0.000

Its formation energy is 814 meV per atom. The value obtained for the raw total energy is -18.04 eV per atom. The calculation puts the total magnetization at 0.94 μB per atom.

---

[9]
Material: Mn2CuAgTe
Method: DFT, SCAN
State: single point on PBEsol structure

abc: 4.656 4.821 4.821
angles: 90.00 90.00 90.00
Fractional positions:
Mn 0.000 0.000 0.500
Mn 0.000 0.500 0.000
Te 0.000 0.000 0.000
Cu 0.500 0.000 0.000
Ag 0.500 0.500 0.500

The raw formation energy comes out at 0.768 eV/atom. The value obtained for the raw total energy is -23.30 eV per atom. The calculation puts the total magnetization at 1.42 μB per atom.

---

[10]
Material: CuAg2Mo
Method: DFT, SCAN
State: single point on PBEsol structure

abc: 2.744 2.744 9.327
angles: 81.54 81.54 60.00
Fractional positions:
Ag 0.246 0.246 0.263
Ag 0.754 0.754 0.737
Cu 0.500 0.500 0.500
Mo 0.000 0.000 0.000

The energy above the most stable polymorph in this dataset comes out at 0.000 eV per atom. Its formation energy is 382 meV per atom. The value obtained for the raw total energy is -27.82 eV per atom. The calculation puts the total magnetization at 0.00 μB per atom.

---

[11]
Material: CuAg2Mo
Method: DFT, SCAN
State: single point on PBEsol structure

abc: 3.966 3.966 4.738
angles: 114.74 114.74 90.00
Fractional positions:
Ag 0.750 0.250 0.500
Ag 0.250 0.750 0.500
Cu 0.500 0.500 0.000
Mo 0.000 0.000 0.000

The energy above the most stable polymorph in this dataset comes out at 0.297 eV per atom. Its formation energy is 678 meV per atom. The value obtained for the raw total energy is -27.53 eV per atom. The calculation puts the total magnetization at 0.61 μB per atom.

---

[12]
Material: CuAgMo
Method: DFT, SCAN
State: single point on PBEsol structure

abc: 4.081 4.081 4.081
angles: 60.00 60.00 60.00
Fractional positions:
Ag 0.500 0.500 0.500
Cu 0.250 0.250 0.250
Mo 0.000 0.000 0.000

Its formation energy is 950 meV per atom. The value obtained for the raw total energy is -26.20 eV per atom. The calculation puts the total magnetization at 0.00 μB per atom.

---

[13]
Material: CuAg2Mo
Method: DFT, SCAN
State: single point on PBEsol structure

abc: 2.662 4.721 5.513
angles: 115.35 103.97 90.00
Fractional positions:
Ag 0.767 0.767 0.534
Ag 0.233 0.233 0.466
Cu 0.500 0.000 0.000
Mo 0.000 0.500 0.000

The energy above the most stable polymorph in this dataset comes out at 0.149 eV per atom. Its formation energy is 531 meV per atom. The value obtained for the raw total energy is -27.67 eV per atom. The calculation puts the total magnetization at 0.00 μB per atom.

---

[14]
Material: CuAg2Mo
Method: DFT, SCAN
State: single point on PBEsol structure

abc: 4.403 4.393 4.403
angles: 59.93 90.00 120.07
Fractional positions:
Ag 0.000 0.000 0.000
Ag 0.250 0.500 0.250
Cu 0.500 0.000 0.500
Mo 0.750 0.500 0.750

The energy above the most stable polymorph in this dataset comes out at 0.296 eV per atom. Its formation energy is 678 meV per atom. The value obtained for the raw total energy is -27.53 eV per atom. The calculation puts the total magnetization at 0.19 μB per atom.

---

[15]
Material: CuAg2Mo
Method: DFT, SCAN
State: single point on PBEsol structure

abc: 2.628 4.138 5.716
angles: 90.00 103.37 90.00
Fractional positions:
Ag 0.062 0.000 0.001
Ag 0.685 0.500 0.249
Cu 0.829 0.000 0.531
Mo 0.423 0.500 0.719

The energy above the most stable polymorph in this dataset comes out at 0.050 eV per atom. Its formation energy is 431 meV per atom. The value obtained for the raw total energy is -27.77 eV per atom. The calculation puts the total magnetization at 0.00 μB per atom.

---

[16]
Material: NaCuAgMo2
Method: DFT, SCAN
State: single point on PBEsol structure

abc: 4.920 4.985 4.985
angles: 90.00 90.00 90.00
Fractional positions:
Na 0.500 0.000 0.000
Mo 0.000 0.000 0.500
Mo 0.000 0.500 0.000
Cu 0.500 0.500 0.500
Ag 0.000 0.000 0.000

Its formation energy is 2076 meV per atom. The value obtained for the raw total energy is -22.03 eV per atom. The calculation puts the total magnetization at 1.56 μB per atom.

---

[17]
Material: CuTcAg2Mo
Method: DFT, SCAN
State: single point on PBEsol structure

abc: 4.495 4.875 4.875
angles: 90.00 90.00 90.00
Fractional positions:
Mo 0.000 0.000 0.000
Cu 0.500 0.000 0.000
Tc 0.500 0.500 0.500
Ag 0.000 0.000 0.500
Ag 0.000 0.500 0.000

Its formation energy is 2109 meV per atom. The value obtained for the raw total energy is -27.47 eV per atom. The calculation puts the total magnetization at 0.68 μB per atom.

---

[18]
Material: CuAgSe2N
Method: DFT, SCAN
State: single point on PBEsol structure

abc: 3.823 5.071 5.071
angles: 90.00 90.00 90.00
Fractional positions:
Cu 0.500 0.500 0.500
Se 0.000 0.000 0.500
Se 0.000 0.500 0.000
Ag 0.000 0.000 0.000
N 0.500 0.000 0.000

The raw formation energy comes out at 1.316 eV/atom. The value obtained for the raw total energy is -17.89 eV per atom. The calculation puts the total magnetization at 0.55 μB per atom.

---

[19]
Material: TaCu2AgN
Method: DFT, SCAN
State: single point on PBEsol structure

abc: 3.738 4.570 4.570
angles: 90.00 90.00 90.00
Fractional positions:
N 0.500 0.000 0.000
Cu 0.000 0.000 0.500
Cu 0.000 0.500 0.000
Ag 0.000 0.000 0.000
Ta 0.500 0.500 0.500

The raw formation energy comes out at 1.820 eV/atom. The value obtained for the raw total energy is -25.71 eV per atom. The calculation puts the total magnetization at 0.00 μB per atom.

---

[20]
Material: Na2CuAg
Method: DFT, SCAN
State: single point on PBEsol structure

abc: 4.833 4.833 4.833
angles: 60.00 60.00 60.00
Fractional positions:
Na 0.250 0.250 0.250
Na 0.750 0.750 0.750
Cu 0.000 0.000 0.000
Ag 0.500 0.500 0.500

Its formation energy is 295 meV per atom. The value obtained for the raw total energy is -13.45 eV per atom. The calculation puts the total magnetization at 0.00 μB per atom.